Ba2AlPd2 | GGA-PBE | optimized geometry

Summary:
- calculated formation energy (eV per formula unit) = -2.948
- magnetic moment (Bohr magnetons per cell) = 0.00
- N(E_F) (states/eV per cell) = 3.48

a = 4.4381 Å, b = 4.4381 Å, c = 10.2785 Å
α = 77.53°, β = 77.53°, γ = 60.00°
Closest atoms and distances in Å follow each position.
Sites, in units of the cell vectors:
Ba 0.5761 0.5761 0.2718  4 Pd 3.31-3.32
Ba 0.4239 0.4239 0.7282  4 Pd 3.31-3.32
Pd 0.3126 0.3126 0.0621  3 Al 2.64, 3 Pd 2.84
Pd 0.6874 0.6874 0.9379  3 Al 2.64, 3 Pd 2.84
Al 0.0000 0.0000 0.0000  6 Pd 2.64

Dy4Se3O | GGA-PBE | optimized geometry

Summary:
- magnetic moment (Bohr magnetons per cell) = 0.11
- E_form (uncorrected) (eV/atom) = -1.823
- N(E_F) (states/eV per cell) = 9.22

a = 5.8667 Å, b = 7.6260 Å, c = 9.3225 Å
α = 90.00°, β = 90.00°, γ = 90.00°
Closest atoms and distances in Å follow each position.
Sites, in units of the cell vectors:
Dy 0.0695 0.2653 0.7907  1 O 2.24
Dy 0.0695 0.2653 0.2093  1 O 2.24
Dy 0.5837 0.1353 0.5000  1 O 2.31
Dy 0.5695 0.7347 0.2907  1 O 2.24
Dy 0.5695 0.7347 0.7093  1 O 2.24
Dy 0.5822 0.1349 0.0000  1 O 2.19
Dy 0.0837 0.8647 0.0000  1 O 2.31
Dy 0.0822 0.8651 0.5000  1 O 2.19
Se 0.0781 0.6448 0.2558  5 Dy 2.83-3.08
Se 0.5988 0.7686 0.0000  4 Dy 2.73-2.94
Se 0.0781 0.6448 0.7442  5 Dy 2.83-3.08
Se 0.5781 0.3552 0.2442  5 Dy 2.83-3.08
Se 0.0988 0.2314 0.5000  4 Dy 2.73-2.94
Se 0.5781 0.3552 0.7558  5 Dy 2.83-3.08
O 0.9554 0.1508 0.0000  4 Dy 2.19-2.31
O 0.4554 0.8492 0.5000  4 Dy 2.19-2.31